No. 1
An optimized crystal structure of Tm7ThSc4. Source: Alexandria, functional PBE.

## Properties
uncorrected energy = -121.16 eV per cell
DOS at the Fermi energy = 37.82 states/eV per cell

a = 15.2992 Å, b = 5.7418 Å, c = 9.4040 Å
α = 90.00°, β = 121.73°, γ = 90.00°
Last column: nearest neighbours and their distance in Å.
Space group C2/m (No. 12)
One atom of each set of equivalent atoms:
Tm1 0.0000 0.0000 0.0000 [2 per cell]  2 Th 2.87, 2 Sc 2.91
Tm2 0.0845 0.5000 0.4359 [4 per cell]  5 Sc 3.16-3.46, 2 Tm 3.38-3.50
Tm3 0.2054 0.5000 0.8805 [4 per cell]  7 Tm 3.45-3.83, 4 Sc 3.49-3.75, 1 Th 3.85
Tm4 0.2480 0.0000 0.7119 [4 per cell]  4 Sc 3.00-3.27, 1 Th 3.35
Th1 0.0000 0.5000 0.0000 [2 per cell]  2 Tm 2.87
Sc1 0.0485 0.0000 0.7013 [4 per cell]  4 Tm 3.00-3.36, 2 Sc 3.17-3.26
Sc2 0.1726 0.0000 0.3452 [4 per cell]  3 Tm 2.91-3.16, 1 Sc 3.17


No. 2
An optimized crystal structure of YTm4Al2. Source: Alexandria, functional PBE.

## Properties
energy relative to the lowest polymorph listed for this composition = 0.535 eV/atom
DOS at the Fermi energy = 17.00 states/eV per cell

a = 5.5717 Å, b = 5.5717 Å, c = 12.6225 Å
α = 90.00°, β = 90.00°, γ = 90.00°
Last column: nearest neighbours and their distance in Å.
Space group I4/mmm (No. 139)
One atom of each set of equivalent atoms:
Y1 0.0000 0.0000 0.0000 [2 per cell]  4 Tm 2.79
Tm1 0.0000 0.5000 0.0000 [4 per cell]  2 Y 2.79
Tm2 0.0000 0.5000 0.2500 [4 per cell]  2 Tm 3.16, 4 Al 3.26
Al1 0.0000 0.0000 0.3842 [4 per cell]  1 Al 2.92, 8 Tm 3.15-3.26


No. 3
An optimized crystal structure of AlRh2Cl. Source: Alexandria, functional PBE.

## Properties
energy relative to the elements, uncorrected = 0.10 eV per atom
energy relative to the lowest polymorph listed for this composition = 0.534 eV/atom
DOS at the Fermi energy = 9.10 states/eV per cell

a = 3.5719 Å, b = 3.5719 Å, c = 9.6105 Å
α = 90.00°, β = 90.00°, γ = 90.00°
Last column: nearest neighbours and their distance in Å.
Space group I-4m2 (No. 119)
One atom of each set of equivalent atoms:
Al1 0.0000 0.0000 0.0000 [2 per cell]  4 Rh 2.53
Rh1 0.0000 0.0000 0.5000 [2 per cell]  4 Al 2.53
Rh2 0.0000 0.5000 0.2500 [2 per cell]  4 Cl 2.53
Cl1 0.0000 0.5000 0.7500 [2 per cell]  4 Rh 2.53


No. 4
An optimized crystal structure of PmIrPt2. Source: Alexandria, functional PBE.

## Properties
uncorrected energy = -28.19 eV per cell
DOS at the Fermi energy = 4.02 states/eV per cell

a = 4.1528 Å, b = 4.1528 Å, c = 4.1604 Å
α = 90.00°, β = 90.00°, γ = 90.00°
Last column: nearest neighbours and their distance in Å.
Space group P4/mmm (No. 123)
One atom of each set of equivalent atoms:
Pm1 0.0000 0.0000 0.0000 [1 per cell]  4 Ir 2.94, 8 Pt 2.94
Ir1 0.5000 0.5000 0.0000 [1 per cell]  4 Pm 2.94, 8 Pt 2.94
Pt1 0.0000 0.5000 0.5000 [2 per cell]  4 Pt 2.94, 4 Pm 2.94, 4 Ir 2.94


No. 5
An optimized crystal structure of YBeCo2. Source: Alexandria, functional PBE.

## Properties
uncorrected energy = -45.63 eV per cell
DOS at the Fermi energy = 7.29 states/eV per cell

a = 5.4153 Å, b = 8.1364 Å, c = 2.8699 Å
α = 90.00°, β = 116.13°, γ = 90.00°
Last column: nearest neighbours and their distance in Å.
Space group C2/m (No. 12)
One atom of each set of equivalent atoms:
Y1 0.0000 0.0000 0.0000 [2 per cell]  4 Co 2.51, 2 Be 2.71
Be1 0.0000 0.5000 0.0000 [2 per cell]  4 Co 2.51, 2 Y 2.71
Co1 0.2500 0.2500 0.5000 [4 per cell]  2 Be 2.51, 2 Y 2.51, 2 Co 2.71


No. 6
An optimized crystal structure of Rb2Te2Cl. Source: Alexandria, functional PBE.

## Properties
energy relative to the elements, uncorrected = -0.83 eV per atom
energy relative to the lowest polymorph listed for this composition = 0.252 eV/atom
DOS at the Fermi energy = 3.77 states/eV per cell

a = 9.1322 Å, b = 9.1322 Å, c = 5.1557 Å
α = 90.00°, β = 90.00°, γ = 90.00°
Last column: nearest neighbours and their distance in Å.
Space group P4/mbm (No. 127)
One atom of each set of equivalent atoms:
Rb1 0.1905 0.3095 0.0000 [4 per cell]  6 Te 3.69-3.81
Te1 0.1046 0.6046 0.5000 [4 per cell]  1 Te 2.70
Cl1 0.0000 0.0000 0.5000 [2 per cell]  4 Te 3.73


No. 7
An optimized crystal structure of Be2BiTe. Source: Alexandria, functional PBE.

## Properties
energy relative to the elements, uncorrected = 0.80 eV per atom
energy relative to the lowest polymorph listed for this composition = 0.669 eV/atom
DOS at the Fermi energy = 7.25 states/eV per cell

a = 6.8246 Å, b = 6.8246 Å, c = 6.8246 Å
α = 90.00°, β = 90.00°, γ = 90.00°
Last column: nearest neighbours and their distance in Å.
Space group Fm-3m (No. 225)
One atom of each set of equivalent atoms:
Be1 0.2500 0.2500 0.2500 [8 per cell]  4 Bi 2.96, 4 Te 2.96
Bi1 0.0000 0.0000 0.0000 [4 per cell]  8 Be 2.96
Te1 0.0000 0.0000 0.5000 [4 per cell]  8 Be 2.96


No. 8
An optimized crystal structure of LiEr3Th4Te8. Source: Alexandria, functional PBE.

## Properties
energy relative to the elements, uncorrected = -1.13 eV per atom
DOS at the Fermi energy = 31.30 states/eV per cell

a = 8.3684 Å, b = 8.3684 Å, c = 23.4380 Å
α = 90.00°, β = 90.00°, γ = 120.00°
Last column: nearest neighbours and their distance in Å.
Space group R-3m (No. 166, hexagonal axes)
One atom of each set of equivalent atoms:
Li1 0.0000 0.0000 0.0000 [3 per cell]  6 Te 2.95
Er1 0.0000 0.5000 0.0000 [9 per cell]  6 Te 3.03
Th1 0.0000 0.0000 0.5000 [3 per cell]  6 Te 3.26
Th2 0.0000 0.5000 0.5000 [9 per cell]  6 Te 3.19
Te1 0.0000 0.0000 0.2555 [6 per cell]  3 Er 3.03, 3 Th 3.19
Te2 0.0083 0.5042 0.7427 [18 per cell]  1 Li 2.95, 2 Er 3.03, 3 Th 3.19-3.26